# GGA-PBE Tm3TePd, relaxed
# Excess energy over the best structure of this formula in the dataset in eV per atom: 0.000
# Uncorrected formation energy in eV/atom: -0.815
# Space group: No. 12
# M_tot in Bohr magnetons per cell: 0.0
data_Tm3TePd
_space_group_name_H-M_alt 'P 1'
_space_group_IT_number 1
_cell_length_a 4.0261
_cell_length_b 10.8997
_cell_length_c 6.1408
_cell_angle_alpha 98.76
_cell_angle_beta 90.00
_cell_angle_gamma 100.64
loop_
_space_group_symop_operation_xyz
'x,y,z'
loop_
_atom_site_label
_atom_site_fract_x
_atom_site_fract_y
_atom_site_fract_z
Te1 0.4129 0.8259 0.4516
Te2 0.5871 0.1741 0.5484
Tm1 0.3651 0.7303 0.9230
Tm2 0.0007 0.0015 0.7555
Tm3 0.6349 0.2697 0.0770
Tm4 0.9993 0.9985 0.2445
Tm5 0.8003 0.6005 0.3708
Tm6 0.1997 0.3995 0.6292
Pd1 0.7734 0.5468 0.8536
Pd2 0.2266 0.4532 0.1464